A | Computed, not measured: an optimized crystal structure of Tb4Se3S2 at the PBE level of DFT.

Calculated values
Calculated volume (Å³/f.u.): 227.45
Mass density (g/cm3): 6.84

abc: 5.369 5.369 12.015
angles: 97.31 97.31 41.52
Fractional positions:
1 Tb 0.085 0.085 0.168
2 Tb 0.384 0.384 0.380
3 Tb 0.616 0.616 0.620
4 Tb 0.915 0.915 0.832
5 Se 0.110 0.110 0.414
6 Se 0.500 0.500 0.000
7 Se 0.890 0.890 0.586
8 S 0.197 0.197 0.780
9 S 0.803 0.803 0.220



B | Computed, not measured: an optimized crystal structure of Tb4Se3S2 at the PBE level of DFT.

Calculated values
Calculated volume (Å³/f.u.): 224.57
Mass density (g/cm3): 6.93

abc: 7.127 7.127 8.641
angles: 98.19 98.19 31.16
Fractional positions:
1 Tb 0.073 0.073 0.178
2 Tb 0.345 0.345 0.389
3 Tb 0.655 0.655 0.611
4 Tb 0.927 0.927 0.822
5 Se 0.000 0.000 0.500
6 Se 0.405 0.405 0.092
7 Se 0.595 0.595 0.908
8 S 0.295 0.295 0.691
9 S 0.705 0.705 0.309



The structure with the most favorable energy is B; the runner-up is 70 meV per atom above it.